Record 1
Density functional theory data (GGA-PBEsol) for a relaxed structure of Na2SrMo.

Cell: 12.6745 12.6745 12.6745 Å, 159.21 159.21 29.57°
Fractional positions:
Na1 0.0950 0.6250 0.9700
Na2 0.3750 0.3450 0.4700
Na3 0.6550 0.1250 0.0300
Na4 0.8750 0.9050 0.5300
Sr1 0.2500 0.7500 0.5000
Sr2 0.5000 0.5000 0.0000
Mo1 0.0000 0.0000 0.0000
Mo2 0.7500 0.2500 0.5000

## Properties
**ΔE_f**: 1.1534 eV per atom

***

Record 2
Density functional theory data (GGA-PBEsol) for a relaxed structure of KRbTl2Cu.

Cell: 5.2585 5.2585 6.1102 Å, 90.00 90.00 90.00°
Fractional positions:
K1 0.0000 0.0000 0.0000
Rb1 0.5000 0.5000 0.0000
Tl1 0.0000 0.5000 0.5000
Tl2 0.5000 0.0000 0.5000
Cu1 0.5000 0.5000 0.5000

## Properties
**ΔE_f**: 0.1599 eV per atom

***

Record 3
Density functional theory data (GGA-PBEsol) for a relaxed structure of AgPAuCl2.

Cell: 4.6815 4.6815 5.0809 Å, 90.00 90.00 90.00°
Fractional positions:
Ag1 0.0000 0.0000 0.0000
P1 0.0000 0.0000 0.5000
Au1 0.5000 0.5000 0.5000
Cl1 0.0000 0.5000 0.0000
Cl2 0.5000 0.0000 0.0000

## Properties
**Raw formation energy**: 705 meV/atom

***

Record 4
Density functional theory data (GGA-PBEsol) for a relaxed structure of MgTlPI2.

Cell: 5.8185 5.8185 4.9683 Å, 90.00 90.00 90.00°
Fractional positions:
Mg1 0.0000 0.0000 0.0000
Tl1 0.5000 0.5000 0.5000
P1 0.0000 0.0000 0.5000
I1 0.0000 0.5000 0.0000
I2 0.5000 0.0000 0.0000

## Properties
**Raw formation energy**: -101 meV/atom

***

Record 5
Density functional theory data (GGA-PBEsol) for a relaxed structure of K2InTe.

Cell: 7.0688 7.0688 7.0688 Å, 144.40 133.94 59.53°
Fractional positions:
K1 0.0000 0.0000 0.0000
K2 0.7071 0.2071 0.5000
In1 0.4215 0.4215 0.0000
Te1 0.2512 0.7512 0.5000

## Properties
**Excess energy over the best structure of this formula in the dataset**: 0.0 meV/atom
**Raw formation energy**: -482 meV/atom

***

Record 6
Density functional theory data (GGA-PBEsol) for a relaxed structure of ReAs2CSe.

Cell: 4.7644 4.7644 4.7655 Å, 90.00 90.00 90.00°
Fractional positions:
Re1 0.0000 0.0000 0.0000
As1 0.0000 0.5000 0.0000
As2 0.5000 0.0000 0.0000
C1 0.5000 0.5000 0.5000
Se1 0.0000 0.0000 0.5000

## Properties
**Raw formation energy**: 1873 meV/atom

***

Record 7
Density functional theory data (GGA-PBEsol) for a relaxed structure of CeSn3Ru.

Cell: 9.5964 9.5964 9.5964 Å, 90.00 90.00 90.00°
Fractional positions:
Ce1 0.0000 0.0000 0.0000
Ce2 0.0000 0.2500 0.5000
Ce3 0.0000 0.7500 0.5000
Ce4 0.2500 0.5000 0.0000
Ce5 0.5000 0.0000 0.2500
Ce6 0.5000 0.0000 0.7500
Ce7 0.5000 0.5000 0.5000
Ce8 0.7500 0.5000 0.0000
Sn1 0.0000 0.3176 0.1542
Sn2 0.0000 0.3176 0.8458
Sn3 0.0000 0.6824 0.1542
Sn4 0.0000 0.6824 0.8458
Sn5 0.1542 0.0000 0.3176
Sn6 0.1542 0.0000 0.6824
Sn7 0.1824 0.5000 0.3458
Sn8 0.1824 0.5000 0.6542
Sn9 0.3176 0.1542 0.0000
Sn10 0.3176 0.8458 0.0000
Sn11 0.3458 0.1824 0.5000
Sn12 0.3458 0.8176 0.5000
Sn13 0.5000 0.3458 0.1824
Sn14 0.5000 0.3458 0.8176
Sn15 0.5000 0.6542 0.1824
Sn16 0.5000 0.6542 0.8176
Sn17 0.6542 0.1824 0.5000
Sn18 0.6542 0.8176 0.5000
Sn19 0.6824 0.1542 0.0000
Sn20 0.6824 0.8458 0.0000
Sn21 0.8176 0.5000 0.3458
Sn22 0.8176 0.5000 0.6542
Sn23 0.8458 0.0000 0.3176
Sn24 0.8458 0.0000 0.6824
Ru1 0.2500 0.2500 0.2500
Ru2 0.2500 0.2500 0.7500
Ru3 0.2500 0.7500 0.2500
Ru4 0.2500 0.7500 0.7500
Ru5 0.7500 0.2500 0.2500
Ru6 0.7500 0.2500 0.7500
Ru7 0.7500 0.7500 0.2500
Ru8 0.7500 0.7500 0.7500

## Properties
**ΔE_f**: -0.4923 eV per atom

***

Record 8
Density functional theory data (GGA-PBEsol) for a relaxed structure of Hf5Sc.

Cell: 5.4829 5.4829 4.9702 Å, 90.00 90.00 120.00°
Fractional positions:
Hf1 0.0000 0.6608 0.0000
Hf2 0.3333 0.6667 0.5000
Hf3 0.3392 0.3392 0.0000
Hf4 0.6608 0.0000 0.0000
Hf5 0.6667 0.3333 0.5000
Sc1 0.0000 0.0000 0.5000

## Properties
**ΔE_f**: -0.0119 eV per atom

***

no.,D(E_F) (states/eV/cell),total DFT energy (no corrections) (eV/atom),total moment (Bohr magnetons per cell)
1,6.46,-2.949,7.7
2,3.15,-2.191,0.0
3,2.92,-2.703,0.2
4,1.07,-2.835,1.9
5,1.77,-2.676,0.0
6,3.96,-5.535,1.5
7,39.01,-6.401,3.6
8,3.42,-9.865,0.0